# AgSe3 | Alexandria via LeMat-Bulk | SCAN | PBEsol geometry
data_AgSe3
_symmetry_space_group_name_H-M 'P m m 2'
_symmetry_Int_Tables_number 25
_cell_length_a 3.5828
_cell_length_b 3.5947
_cell_length_c 7.2580
_cell_angle_alpha 90.00
_cell_angle_beta 90.00
_cell_angle_gamma 90.00
loop_
_symmetry_equiv_pos_as_xyz
'x,y,z'
'-x,-y,z'
'-x,y,z'
'x,-y,z'
loop_
_atom_site_label
_atom_site_type_symbol
_atom_site_fract_x
_atom_site_fract_y
_atom_site_fract_z
Ag1 Ag 0.0000 0.0000 0.0000
Se1 Se 0.0000 0.5000 0.4102
Se2 Se 0.5000 0.0000 0.5050
Se3 Se 0.5000 0.5000 0.9267
# DOS at the Fermi energy, states/eV per cell: 2.38
# Size of the total moment, μB per cell: 0.0
# E_form (uncorrected), kJ/mol of formula units: 74
# Calculated density, g/cm3: 6.1